# 1
DFT (PBE) results for a relaxed structure of Cs3Ce3SbSe8.

Values from the calculation:
V = 37.1 Å³ per atom
Fermi-level density of states = 25.01 states/eV per cell
VASP energy = -4.907 eV/atom
E_form (uncorrected) = -1.417 eV/atom
total magnetic moment = 4.0 μB/cell

Cell lengths 14.963, 8.656, 8.601 Å; angles 90.00, 90.05, 90.00 degrees
Space group C2/m (No. 12)
Inequivalent atoms, fractional coordinates:
Cs1 0.000 0.000 0.000
Cs2 0.250 0.250 0.000
Ce1 0.000 0.500 0.500
Ce2 0.250 0.250 0.500
Sb1 0.000 0.000 0.500
Se1 0.083 0.247 0.320
Se2 0.165 0.000 0.685
Se3 0.168 0.500 0.683


# 2
DFT (PBE) results for a relaxed structure of Cs3CeSc2Se6.

Values from the calculation:
V = 31.7 Å³ per atom
Fermi-level density of states = 10.33 states/eV per cell
VASP energy = -5.093 eV/atom
E_form (uncorrected) = -1.588 eV/atom
total magnetic moment = 2.0 μB/cell

Cell lengths 7.267, 12.584, 8.666 Å; angles 90.00, 106.26, 90.00 degrees
Space group C2/m (No. 12)
Inequivalent atoms, fractional coordinates:
Cs1 0.000 0.000 0.000
Cs2 0.000 0.337 0.000
Ce1 0.000 0.500 0.500
Sc1 0.000 0.167 0.500
Se1 0.207 0.000 0.679
Se2 0.236 0.324 0.681


> Among the records above, which one has the highest E_form (uncorrected)?

Cs3Ce3SbSe8